No. 1
A plane-wave DFT calculation with PBE-GGA was carried out for a relaxed structure of MgSnBi3.

```
MgSnBi3
1.0
-0.171 5.517 -0.429
-3.572 0.218 4.223
4.226 0.407 3.553
Sn Bi Mg
1 3 1
Direct
0.500 0.500 0.500
0.000 0.500 0.000
0.000 0.000 0.500
0.500 0.000 0.000
0.000 0.000 0.000
```

Values from the calculation:
SG: Pm-3m
Energy of formation from the pure elements: 0.464 eV per atom



No. 2
A plane-wave DFT calculation with PBE-GGA was carried out for a relaxed structure of Mg2SnBi2.

```
Mg2SnBi2
1.0
-3.802 6.383 5.047
-0.086 -5.602 7.020
3.178 1.142 0.950
Bi Mg Sn
4 4 2
Direct
0.165 0.335 0.000
0.665 0.165 0.000
0.835 0.665 0.000
0.335 0.835 0.000
0.365 0.135 0.500
0.865 0.365 0.500
0.635 0.865 0.500
0.135 0.635 0.500
0.000 0.000 0.000
0.500 0.500 0.000
```

Values from the calculation:
SG: P4/mbm
Energy of formation from the pure elements: -0.047 eV per atom



No. 3
A plane-wave DFT calculation with PBE-GGA was carried out for a relaxed structure of Mg5Sn4Bi.

```
Mg5Sn4Bi
1.0
3.434 0.000 0.000
0.000 3.434 0.000
0.000 0.000 20.947
Sn Mg Bi
4 5 1
Direct
0.000 0.000 0.205
0.000 0.000 0.598
0.000 0.000 0.402
0.000 0.000 0.795
0.500 0.500 0.109
0.500 0.500 0.304
0.500 0.500 0.500
0.500 0.500 0.891
0.500 0.500 0.696
0.000 0.000 0.000
```

Values from the calculation:
SG: P4/mmm
Energy of formation from the pure elements: -0.118 eV per atom



No. 4
A plane-wave DFT calculation with PBE-GGA was carried out for a relaxed structure of Mg4SnBi.

```
Mg4SnBi
1.0
-2.930 1.621 -7.160
2.261 -7.545 -1.006
-4.339 1.355 5.632
Mg Bi Sn
8 2 2
Direct
0.279 0.543 0.729
0.764 0.765 0.767
0.950 0.185 0.729
0.497 0.999 0.233
0.503 0.001 0.767
0.721 0.457 0.271
0.050 0.815 0.271
0.236 0.235 0.233
0.628 0.378 0.756
0.372 0.622 0.244
0.879 0.129 0.258
0.121 0.871 0.742
```

Values from the calculation:
SG: C2/c
Energy of formation from the pure elements: -0.107 eV per atom